# NaZn2CdCu (PBE-GGA, optimized geometry)
data_NaZn2CdCu
_cell_length_a 4.7195
_cell_length_b 4.7195
_cell_length_c 5.0129
_cell_angle_alpha 90.00
_cell_angle_beta 90.00
_cell_angle_gamma 90.00
_symmetry_space_group_name_H-M 'P 4/m m m'
_symmetry_Int_Tables_number 123
_symmetry_space_group_name_Hall '-P 4 2'
loop_
_atom_site_label
_atom_site_fract_x
_atom_site_fract_y
_atom_site_fract_z
_atom_site_occupancy
Na1 0.0000 0.0000 0.0000 1
Zn1 0.0000 0.5000 0.5000 1
Cd1 0.5000 0.5000 0.0000 1
Cu1 0.5000 0.5000 0.5000 1
# - Spin magnetization: 0.0 μB/f.u.
# - Crystal system: tetragonal
# - ΔE_f: 51 kJ/mol of formula units
# - DFT total energy: -8.35 eV per cell


# EuCdGaPb (PBE-GGA, optimized geometry)
data_EuCdGaPb
_cell_length_a 7.5171
_cell_length_b 7.5171
_cell_length_c 7.5171
_cell_angle_alpha 90.00
_cell_angle_beta 90.00
_cell_angle_gamma 90.00
_symmetry_space_group_name_H-M 'F -4 3 m'
_symmetry_Int_Tables_number 216
_symmetry_space_group_name_Hall 'F -4 2 3'
loop_
_atom_site_label
_atom_site_fract_x
_atom_site_fract_y
_atom_site_fract_z
_atom_site_occupancy
Eu1 0.0000 0.0000 0.0000 1
Cd1 0.0000 0.0000 0.5000 1
Ga1 0.2500 0.2500 0.2500 1
Pb1 0.2500 0.2500 0.7500 1
# - Spin magnetization: 6.9 μB/f.u.
# - Crystal system: cubic
# - ΔE_f: -91 kJ/mol of formula units
# - DFT total energy: -75.48 eV per cell


# TbCeSm2Dy4 (PBE-GGA, optimized geometry)
data_TbCeSm2Dy4
_cell_length_a 6.1739
_cell_length_b 3.5638
_cell_length_c 11.7857
_cell_angle_alpha 90.00
_cell_angle_beta 100.15
_cell_angle_gamma 90.00
_symmetry_space_group_name_H-M 'P 1 2/m 1'
_symmetry_Int_Tables_number 10
loop_
_symmetry_equiv_pos_as_xyz
'x,y,z'
'-x,-y,-z'
'-x,y,-z'
'x,-y,z'
loop_
_atom_site_label
_atom_site_fract_x
_atom_site_fract_y
_atom_site_fract_z
_atom_site_occupancy
Tb1 0.0000 0.0000 0.0000 1
Ce1 0.0000 0.5000 0.5000 1
Sm1 0.5000 0.0000 0.5000 1
Sm2 0.5000 0.5000 0.0000 1
Dy1 0.2461 0.0000 0.7481 1
Dy2 0.2467 0.5000 0.2503 1
# - Spin magnetization: 0.8 μB/f.u.
# - Crystal system: monoclinic
# - ΔE_f: 31 kJ/mol of formula units
# - DFT total energy: -38.09 eV per cell


# CePmEr4Tm2 (PBE-GGA, optimized geometry)
data_CePmEr4Tm2
_cell_length_a 4.9851
_cell_length_b 5.0009
_cell_length_c 9.9234
_cell_angle_alpha 90.00
_cell_angle_beta 90.00
_cell_angle_gamma 90.00
_symmetry_space_group_name_H-M 'P m m m'
_symmetry_Int_Tables_number 47
loop_
_symmetry_equiv_pos_as_xyz
'x,y,z'
'-x,-y,-z'
'-x,-y,z'
'x,y,-z'
'x,-y,-z'
'-x,y,z'
'-x,y,-z'
'x,-y,z'
loop_
_atom_site_label
_atom_site_fract_x
_atom_site_fract_y
_atom_site_fract_z
_atom_site_occupancy
Ce1 0.0000 0.0000 0.0000 1
Pm1 0.5000 0.5000 0.5000 1
Er1 0.0000 0.5000 0.2471 1
Er2 0.5000 0.0000 0.2476 1
Tm1 0.0000 0.0000 0.5000 1
Tm2 0.5000 0.5000 0.0000 1
# - Spin magnetization: 1.0 μB/f.u.
# - Crystal system: orthorhombic
# - ΔE_f: 38 kJ/mol of formula units
# - DFT total energy: -37.48 eV per cell


# HoZnCu2 (PBE-GGA, optimized geometry)
data_HoZnCu2
_cell_length_a 6.9506
_cell_length_b 4.1184
_cell_length_c 9.4105
_cell_angle_alpha 90.00
_cell_angle_beta 90.00
_cell_angle_gamma 90.00
_symmetry_space_group_name_H-M 'P n m a'
_symmetry_Int_Tables_number 62
loop_
_symmetry_equiv_pos_as_xyz
'x,y,z'
'-x,-y,-z'
'-x+1/2,-y,z+1/2'
'x+1/2,y,-z+1/2'
'x+1/2,-y+1/2,-z+1/2'
'-x+1/2,y+1/2,z+1/2'
'-x,y+1/2,-z'
'x,-y+1/2,z'
loop_
_atom_site_label
_atom_site_fract_x
_atom_site_fract_y
_atom_site_fract_z
_atom_site_occupancy
Ho1 0.2248 0.2500 0.1795 1
Zn1 0.0522 0.7500 0.3929 1
Cu1 0.0708 0.2500 0.8779 1
Cu2 0.2364 0.7500 0.9702 1
# - Spin magnetization: 0.0 μB/f.u.
# - Crystal system: orthorhombic
# - ΔE_f: -108 kJ/mol of formula units
# - DFT total energy: -60.66 eV per cell


# In2RePt (PBE-GGA, optimized geometry)
data_In2RePt
_cell_length_a 4.4905
_cell_length_b 4.4905
_cell_length_c 3.5105
_cell_angle_alpha 90.00
_cell_angle_beta 90.00
_cell_angle_gamma 90.00
_symmetry_space_group_name_H-M 'P 4/m m m'
_symmetry_Int_Tables_number 123
_symmetry_space_group_name_Hall '-P 4 2'
loop_
_atom_site_label
_atom_site_fract_x
_atom_site_fract_y
_atom_site_fract_z
_atom_site_occupancy
In1 0.0000 0.5000 0.0000 1
Re1 0.0000 0.0000 0.5000 1
Pt1 0.5000 0.5000 0.5000 1
# - E above lowest polymorph: 12 meV per atom
# - Spin magnetization: 0.0 μB/f.u.
# - Crystal system: tetragonal
# - ΔE_f: 65 kJ/mol of formula units
# - DFT total energy: -23.29 eV per cell


# Ta5H3 (PBE-GGA, optimized geometry)
data_Ta5H3
_cell_length_a 3.4553
_cell_length_b 5.6045
_cell_length_c 5.6063
_cell_angle_alpha 84.50
_cell_angle_beta 72.33
_cell_angle_gamma 72.66
_symmetry_space_group_name_H-M 'P 1'
_symmetry_Int_Tables_number 1
loop_
_symmetry_equiv_pos_as_xyz
'x,y,z'
loop_
_atom_site_label
_atom_site_fract_x
_atom_site_fract_y
_atom_site_fract_z
_atom_site_occupancy
Ta1 0.0000 0.0000 0.0000 1
Ta2 0.1668 0.4212 0.2037 1
Ta3 0.3836 0.8095 0.4071 1
Ta4 0.5922 0.2002 0.6095 1
Ta5 0.7750 0.6226 0.8117 1
H1 0.2292 0.5046 0.5130 1
H2 0.5339 0.1156 0.2992 1
H3 0.6395 0.3095 0.9092 1
# - Spin magnetization: 0.0 μB/f.u.
# - Crystal system: triclinic
# - DFT total energy: -70.65 eV per cell


# GdGe2Ir (PBE-GGA, optimized geometry)
data_GdGe2Ir
_cell_length_a 4.2203
_cell_length_b 4.2203
_cell_length_c 14.9219
_cell_angle_alpha 90.00
_cell_angle_beta 90.00
_cell_angle_gamma 120.00
_symmetry_space_group_name_H-M 'R -3 m'
_symmetry_Int_Tables_number 166
_symmetry_space_group_name_Hall '-R 3 2"'
loop_
_atom_site_label
_atom_site_fract_x
_atom_site_fract_y
_atom_site_fract_z
_atom_site_occupancy
Gd1 0.0000 0.0000 0.0000 1
Ge1 0.0000 0.0000 0.2209 1
Ir1 0.0000 0.0000 0.5000 1
# - Spin magnetization: 6.9 μB/f.u.
# - Crystal system: trigonal
# - ΔE_f: -277 kJ/mol of formula units
# - DFT total energy: -105.15 eV per cell


> The highest DFT total energy belongs to which entry?

NaZn2CdCu


> Look up the DFT total energy of the second one.

-75.48 eV per cell


> What is the formula in the fifth record?

HoZnCu2


> Which of these has the highest DFT total energy?

NaZn2CdCu